CdCoOs2, single point on PBEsol structure, DFT SCAN; final energy = -3.49458 Ry per atom; formation energy from the elements = 31.2 kJ per mole of atoms; space-group type = No. 99
1.0
2.735 0.000 0.000
0.000 2.735 0.000
0.000 0.000 7.571
Cd Co Os
1 1 2
Direct
0.000 0.000 0.514
0.500 0.500 0.772
0.000 0.000 0.989
0.500 0.500 0.224